Entry 1:
Here is an optimized crystal structure of PuAl2Ga3 from the Alexandria database. Energies are from PBE.

Results
D(E_F)	1.6343	states/eV/atom
E	-5.27	eV per atom

The structure in POSCAR format:
```
PuAl2Ga3
1.0
3.015 -7.543 0.000
3.015 7.543 0.000
0.000 0.000 5.227
Pu Al Ga
2 4 6
Direct
0.174 0.826 0.750
0.826 0.174 0.250
0.227 0.227 0.000
0.227 0.227 0.500
0.773 0.773 0.000
0.773 0.773 0.500
0.113 0.418 0.750
0.339 0.661 0.250
0.418 0.113 0.250
0.582 0.887 0.750
0.661 0.339 0.750
0.887 0.582 0.250
```

=====

Entry 2:
Here is an optimized crystal structure of Pu3Al2Ga4 from the Alexandria database. Energies are from PBE.

Results
D(E_F)	2.2617	states/eV/atom
E	-7.31	eV per atom

The structure in POSCAR format:
```
Pu3Al2Ga4
1.0
5.218 -2.289 0.000
5.218 2.289 0.000
-3.845 0.000 7.733
Pu Al Ga
3 2 4
Direct
0.000 0.000 0.000
0.334 0.334 0.331
0.666 0.666 0.669
0.389 0.389 0.722
0.611 0.611 0.278
0.069 0.069 0.402
0.292 0.292 0.958
0.708 0.708 0.042
0.931 0.931 0.598
```

=====

What did the second record say?
Here is an optimized crystal structure of Pu3Al2Ga4 from the Alexandria database. Energies are from PBE.

Results
D(E_F)	2.2617	states/eV/atom
E	-7.31	eV per atom

The structure in POSCAR format:
```
Pu3Al2Ga4
1.0
5.218 -2.289 0.000
5.218 2.289 0.000
-3.845 0.000 7.733
Pu Al Ga
3 2 4
Direct
0.000 0.000 0.000
0.334 0.334 0.331
0.666 0.666 0.669
0.389 0.389 0.722
0.611 0.611 0.278
0.069 0.069 0.402
0.292 0.292 0.958
0.708 0.708 0.042
0.931 0.931 0.598
```